No. 1
AcY2Hg | PBE | relaxed

DFT total energy in eV per atom: -4.367
Formation enthalpy at 0 K in eV/atom: -0.032
Total moment in Bohr magnetons per cell: 0.0

Cell and atoms, written as CIF:
```
data_AcY2Hg
_chemical_formula_sum 'Ac1 Y2 Hg1'
_space_group_name_H-M_alt 'P 4/m m m'
_space_group_IT_number 123
_space_group_name_Hall '-P 4 2'
_cell_length_a 5.636
_cell_length_b 5.636
_cell_length_c 3.872
_cell_angle_alpha 90.00
_cell_angle_beta 90.00
_cell_angle_gamma 90.00
loop_
_atom_site_label
_atom_site_type_symbol
_atom_site_fract_x
_atom_site_fract_y
_atom_site_fract_z
Ac1 Ac 0.000 0.000 0.000
Y1 Y 0.000 0.500 0.500
Hg1 Hg 0.500 0.500 0.000
```



No. 2
AcY2Hg | PBE | relaxed

DFT total energy in eV per atom: -4.499
Formation enthalpy at 0 K in eV/atom: -0.164
Total moment in Bohr magnetons per cell: 0.0

Cell and atoms, written as CIF:
```
data_AcY2Hg
_chemical_formula_sum 'Ac3 Y6 Hg3'
_space_group_name_H-M_alt 'R -3 m'
_space_group_IT_number 166
_space_group_name_Hall '-R 3 2"'
_cell_length_a 3.7668
_cell_length_b 3.7668
_cell_length_c 32.1889
_cell_angle_alpha 90.00
_cell_angle_beta 90.00
_cell_angle_gamma 120.00
loop_
_atom_site_label
_atom_site_type_symbol
_atom_site_fract_x
_atom_site_fract_y
_atom_site_fract_z
Ac1 Ac 0.0000 0.0000 0.0000
Y1 Y 0.0000 0.0000 0.2382
Hg1 Hg 0.0000 0.0000 0.5000
```



No. 3
AcY2Hg6 | PBE | relaxed

DFT total energy in eV per atom: -2.493
Formation enthalpy at 0 K in eV/atom: -0.399
Total moment in Bohr magnetons per cell: 0.0

Cell and atoms, written as CIF:
```
data_AcY2Hg6
_chemical_formula_sum 'Ac1 Y2 Hg6'
_space_group_name_H-M_alt 'P 6/m m m'
_space_group_IT_number 191
_space_group_name_Hall '-P 6 2'
_cell_length_a 8.7028
_cell_length_b 8.7028
_cell_length_c 3.5909
_cell_angle_alpha 90.00
_cell_angle_beta 90.00
_cell_angle_gamma 120.00
loop_
_atom_site_label
_atom_site_type_symbol
_atom_site_fract_x
_atom_site_fract_y
_atom_site_fract_z
Ac1 Ac 0.0000 0.0000 0.0000
Y1 Y 0.3333 0.6667 0.0000
Hg1 Hg 0.0000 0.3385 0.5000
```



No. 4
AcYHg5 | PBE | relaxed

DFT total energy in eV per atom: -2.024
Formation enthalpy at 0 K in eV/atom: -0.298
Total moment in Bohr magnetons per cell: 0.0

Cell and atoms, written as CIF:
```
data_AcYHg5
_chemical_formula_sum 'Ac1 Y1 Hg5'
_space_group_name_H-M_alt 'P 4/m m m'
_space_group_IT_number 123
_space_group_name_Hall '-P 4 2'
_cell_length_a 4.660
_cell_length_b 4.660
_cell_length_c 9.308
_cell_angle_alpha 90.00
_cell_angle_beta 90.00
_cell_angle_gamma 90.00
loop_
_atom_site_label
_atom_site_type_symbol
_atom_site_fract_x
_atom_site_fract_y
_atom_site_fract_z
Ac1 Ac 0.000 0.000 0.000
Y1 Y 0.500 0.500 0.500
Hg1 Hg 0.000 0.000 0.500
Hg2 Hg 0.000 0.500 0.258
```